Record 1
# La2ZrNbH

Crystalline La2ZrNbH at its relaxed geometry (PBE-GGA, Alexandria via LeMat-Bulk).

Cell: 5.9095 5.9095 3.5358 Å, 90.00 90.00 90.00°
With the nearest neighbours (Å) after each atom.
Space group P4/mmm (No. 123)
Inequivalent atoms, fractional coordinates:
La (0.0000, 0.5000, 0.0000) x2  2 Nb 2.95
Zr (0.0000, 0.0000, 0.5000) x1  8 La 3.44, 2 Zr 3.54
Nb (0.5000, 0.5000, 0.0000) x1  2 H 1.77
H (0.5000, 0.5000, 0.5000) x1  2 Nb 1.77

Values from the calculation:
energy	-28.71	eV/cell
crystal system	tetragonal
calculated volume	123	Å³/f.u.

---

Record 2
# ZrPH

Crystalline ZrPH at its relaxed geometry (PBE-GGA, Alexandria via LeMat-Bulk).

Cell: 3.6190 3.5680 6.1401 Å, 90.00 91.23 90.00°
With the nearest neighbours (Å) after each atom.
Space group Pm (No. 6)
Inequivalent atoms, fractional coordinates:
Zr (0.0000, 0.0000, 0.0000) x1  4 H 2.03-2.06
Zr (0.4850, 0.0000, 0.5117) x1  1 H 2.06
P (0.5593, 0.5000, 0.1974) x1  1 H 1.55
P (0.9879, 0.5000, 0.6584) x1  1 H 2.33
H (0.2831, 0.5000, 0.0002) x1  1 P 1.55
H (0.4922, 0.0000, 0.8471) x1  3 Zr 2.03-2.06, 2 H 2.16

Values from the calculation:
energy	-39.47	eV/cell
crystal system	monoclinic
calculated volume	40	Å³/f.u.
ΔE to the lowest computed polymorph	21.2	kJ/mol of atoms